MnGeN2O: relaxed, PBE with a Hubbard U.

Structure (POSCAR):
```
MnGeN2O
1.0
-1.2091 -2.8128 2.3120
-0.5139 -2.2800 -3.0426
3.6944 -1.3002 0.3503
N Ge O Mn
2 1 1 1
direct
0.5000 0.0000 0.0000
0.0000 0.5000 0.0000
0.5000 0.5000 0.5000
0.0000 0.0000 0.5000
0.0000 0.0000 0.0000
```

Results
Total magnetization, μB per cell: 1.01
VASP energy, Ha/atom: -0.224
Crystal system: tetragonal